# TbCeHg4, relaxed, DFT GGA-PBE
data_TbCeHg4
_chemical_formula_sum 'Tb1 Ce1 Hg4'
_cell_length_a 3.4583
_cell_length_b 5.0441
_cell_length_c 8.6789
_cell_angle_alpha 90.00
_cell_angle_beta 90.02
_cell_angle_gamma 90.00
_symmetry_space_group_name_H-M 'P 1 2/m 1'
_symmetry_Int_Tables_number 10
_symmetry_space_group_name_Hall '-P 2y'
loop_
_atom_site_label
_atom_site_type_symbol
_atom_site_fract_x
_atom_site_fract_y
_atom_site_fract_z
Tb1 Tb 0.0000 0.0000 0.0000
Ce1 Ce 0.0000 0.5000 0.5000
Hg1 Hg 0.4985 0.5000 0.1643
Hg2 Hg 0.4991 0.0000 0.6700
# magnetic moment: 1.261 μB/cell
# energy of formation from the pure elements: -0.467 eV/atom
# distance to the lowest polymorph of the same formula: 0 meV/atom
# E_tot: -14.573 eV per cell